{
  "formula": "Ho3Si3Os",
  "functional": "PBE",
  "state": "optimized geometry",
  "e_form_raw_ev_per_atom": -0.81,
  "volume_a3_per_cell": 280.5,
  "spacegroup": "C2/m",
  "dos_at_fermi_per_ev_fu": 4.23,
  "dft_energy_ev_per_cell": -93.81,
  "lattice": [[5.283, -2.106, 0.000], [5.283, 2.106, 0.000], [-4.832, 0.000, 12.608]],
  "species": ["Ho", "Ho", "Ho", "Ho", "Ho", "Ho", "Si", "Si", "Si", "Si", "Si", "Si", "Os", "Os"],
  "fractional_positions": [[0.018, 0.018, 0.374], [0.102, 0.102, 0.920], [0.245, 0.245, 0.229], [0.755, 0.755, 0.771], [0.898, 0.898, 0.080], [0.982, 0.982, 0.626], [0.365, 0.365, 0.458], [0.388, 0.388, 0.926], [0.449, 0.449, 0.762], [0.551, 0.551, 0.238], [0.612, 0.612, 0.074], [0.635, 0.635, 0.542], [0.253, 0.253, 0.587], [0.747, 0.747, 0.413]]
}


{
  "formula": "TlOsBr2",
  "functional": "PBE",
  "state": "optimized geometry",
  "e_above_lowest_polymorph_mev_per_atom": 734.6,
  "e_form_raw_ev_per_atom": 1.01,
  "volume_a3_per_cell": 98.0,
  "spacegroup": "Pmmm",
  "dos_at_fermi_per_ev_fu": 4.17,
  "dft_energy_ev_per_cell": -12.89,
  "lattice": [[3.332, 0.000, 0.000], [0.000, 4.751, 0.000], [0.000, 0.000, 6.192]],
  "species": ["Tl", "Os", "Br", "Br"],
  "fractional_positions": [[0.000, 0.000, 0.000], [0.500, 0.000, 0.500], [0.000, 0.500, 0.500], [0.500, 0.500, 0.000]]
}


{
  "formula": "Zn2SnPd2",
  "functional": "PBE",
  "state": "optimized geometry",
  "e_above_lowest_polymorph_mev_per_atom": 231.7,
  "formation_energy_ev_per_atom": -0.155,
  "volume_a3_per_cell": 91.7,
  "spacegroup": "I4/mmm",
  "dos_at_fermi_per_ev_fu": 2.20,
  "dft_energy_ev_per_cell": -17.71,
  "lattice": [[-2.034, 2.034, 5.542], [2.034, -2.034, 5.542], [2.034, 2.034, -5.542]],
  "species": ["Zn", "Zn", "Sn", "Pd", "Pd"],
  "fractional_positions": [[0.112, 0.112, 0.000], [0.888, 0.888, 0.000], [0.500, 0.500, 0.000], [0.250, 0.750, 0.500], [0.750, 0.250, 0.500]]
}


{
  "formula": "Na3Sm2NpS6",
  "functional": "PBE",
  "state": "optimized geometry",
  "e_form_raw_ev_per_atom": -1.65,
  "volume_a3_per_cell": 287.4,
  "spacegroup": "C2/m",
  "dos_at_fermi_per_ev_fu": 7.14,
  "dft_energy_ev_per_cell": -70.87,
  "lattice": [[3.524, -6.104, 0.000], [3.524, 6.104, 0.000], [-2.349, 0.000, 6.680]],
  "species": ["Na", "Na", "Na", "Sm", "Sm", "Np", "S", "S", "S", "S", "S", "S"],
  "fractional_positions": [[0.000, 0.000, 0.000], [0.333, 0.667, 0.000], [0.667, 0.333, 0.000], [0.167, 0.833, 0.500], [0.833, 0.167, 0.500], [0.500, 0.500, 0.500], [0.092, 0.423, 0.269], [0.246, 0.246, 0.730], [0.423, 0.092, 0.269], [0.577, 0.908, 0.731], [0.754, 0.754, 0.270], [0.908, 0.577, 0.731]]
}


{
  "formula": "CdFeAu2",
  "functional": "PBE",
  "state": "optimized geometry",
  "formation_energy_ev_per_atom": 0.128,
  "volume_a3_per_cell": 70.2,
  "spacegroup": "C2/m",
  "dos_at_fermi_per_ev_fu": 2.35,
  "dft_energy_ev_per_cell": -15.42,
  "lattice": [[4.615, -1.464, 0.000], [4.615, 1.464, 0.000], [-0.985, 0.000, 5.198]],
  "species": ["Cd", "Fe", "Au", "Au"],
  "fractional_positions": [[0.000, 0.000, 0.000], [0.500, 0.500, 0.500], [0.239, 0.239, 0.732], [0.761, 0.761, 0.268]]
}


{
  "formula": "Tm3ScH",
  "functional": "PBE",
  "state": "optimized geometry",
  "volume_a3_per_cell": 113.3,
  "spacegroup": "Pm-3m",
  "dos_at_fermi_per_ev_fu": 5.47,
  "dft_energy_ev_per_cell": -23.78,
  "lattice": [[4.838, 0.000, 0.000], [0.000, 4.838, 0.000], [0.000, 0.000, 4.838]],
  "species": ["Tm", "Tm", "Tm", "Sc", "H"],
  "fractional_positions": [[0.000, 0.000, 0.500], [0.000, 0.500, 0.000], [0.500, 0.000, 0.000], [0.500, 0.500, 0.500], [0.000, 0.000, 0.000]]
}


{
  "formula": "TlHN2F",
  "functional": "PBE",
  "state": "optimized geometry",
  "e_above_lowest_polymorph_mev_per_atom": 361.7,
  "volume_a3_per_cell": 97.8,
  "spacegroup": "P4/mmm",
  "dos_at_fermi_per_ev_fu": 1.10,
  "dft_energy_ev_per_cell": -16.02,
  "lattice": [[4.612, 0.000, 0.000], [0.000, 4.612, 0.000], [0.000, 0.000, 4.598]],
  "species": ["Tl", "H", "N", "N", "F"],
  "fractional_positions": [[0.000, 0.000, 0.000], [0.500, 0.500, 0.500], [0.000, 0.500, 0.000], [0.500, 0.000, 0.000], [0.000, 0.000, 0.500]]
}


{
  "formula": "Be3Tl",
  "functional": "PBE",
  "state": "optimized geometry",
  "e_above_lowest_polymorph_mev_per_atom": 172.9,
  "formation_energy_ev_per_atom": 0.529,
  "volume_a3_per_cell": 110.3,
  "spacegroup": "Cmcm",
  "dos_at_fermi_per_ev_fu": 0.86,
  "dft_energy_ev_per_cell": -22.86,
  "lattice": [[2.980, -5.156, 0.000], [2.980, 5.156, 0.000], [0.000, 0.000, 3.588]],
  "species": ["Be", "Be", "Be", "Be", "Be", "Be", "Tl", "Tl"],
  "fractional_positions": [[0.123, 0.245, 0.750], [0.123, 0.877, 0.750], [0.245, 0.123, 0.250], [0.755, 0.877, 0.750], [0.877, 0.123, 0.250], [0.877, 0.755, 0.250], [0.334, 0.666, 0.250], [0.666, 0.334, 0.750]]
}